# 1
Computed, not measured: a relaxed structure of LiAgGeTe2S at the PBE-GGA level of DFT.

Lattice parameters (Å, degrees): 6.807 6.807 10.982 90.00 90.00 144.45
Atoms (fractional coordinates):
Ag 0.899 0.101 0.250
Ag 0.101 0.899 0.750
Ge 0.500 0.500 0.000
Ge 0.500 0.500 0.500
Li 0.124 0.876 0.250
Li 0.876 0.124 0.750
S 0.527 0.473 0.250
S 0.473 0.527 0.750
Te 0.842 0.158 0.009
Te 0.842 0.158 0.491
Te 0.158 0.842 0.509
Te 0.158 0.842 0.991

The energy is -3.553 eV per atom.

# 2
Computed, not measured: a relaxed structure of LiAgGeSe3 at the PBE-GGA level of DFT.

Lattice parameters (Å, degrees): 6.754 6.754 11.212 90.00 90.00 149.67
Atoms (fractional coordinates):
Ag 0.546 0.454 0.250
Ag 0.454 0.546 0.750
Ge 0.000 0.000 0.000
Ge 0.000 0.000 0.500
Li 0.232 0.768 0.250
Li 0.768 0.232 0.750
Se 0.641 0.359 0.048
Se 0.893 0.107 0.250
Se 0.641 0.359 0.452
Se 0.359 0.641 0.548
Se 0.107 0.893 0.750
Se 0.359 0.641 0.952

The energy is -3.545 eV per atom.

# 3
Computed, not measured: a relaxed structure of Li4SiAg2Ge at the PBE-GGA level of DFT.

Lattice parameters (Å, degrees): 4.388 4.388 6.194 90.00 90.00 90.00
Atoms (fractional coordinates):
Ag 0.000 0.500 0.260
Ag 0.500 0.000 0.740
Ge 0.000 0.000 0.000
Li 0.500 0.500 0.000
Li 0.500 0.000 0.253
Li 0.000 0.000 0.500
Li 0.000 0.500 0.747
Si 0.500 0.500 0.500

The energy is -3.205 eV per atom.

# 4
Computed, not measured: a relaxed structure of Li4Ag2SnGe at the PBE-GGA level of DFT.

Lattice parameters (Å, degrees): 4.500 4.500 6.524 90.00 90.00 90.00
Atoms (fractional coordinates):
Ag 0.000 0.500 0.234
Ag 0.500 0.000 0.766
Ge 0.000 0.000 0.000
Li 0.500 0.500 0.000
Li 0.500 0.000 0.229
Li 0.000 0.000 0.500
Li 0.000 0.500 0.771
Sn 0.500 0.500 0.500

The energy is -3.084 eV per atom.

# 5
Computed, not measured: a relaxed structure of LiAg3GeTe4 at the PBE-GGA level of DFT.

Lattice parameters (Å, degrees): 6.457 6.457 6.457 90.00 90.00 90.00
Atoms (fractional coordinates):
Ag 0.500 0.000 0.000
Ag 0.000 0.500 0.000
Ag 0.000 0.000 0.500
Ge 0.000 0.000 0.000
Li 0.500 0.500 0.500
Te 0.742 0.258 0.258
Te 0.258 0.742 0.258
Te 0.258 0.258 0.742
Te 0.742 0.742 0.742

The energy is -3.160 eV per atom.

# 6
Computed, not measured: a relaxed structure of Li4TlAg2Ge at the PBE-GGA level of DFT.

Lattice parameters (Å, degrees): 4.520 4.520 6.608 90.00 90.00 90.00
Atoms (fractional coordinates):
Ag 0.000 0.500 0.222
Ag 0.500 0.000 0.778
Ge 0.000 0.000 0.000
Li 0.500 0.500 0.000
Li 0.500 0.000 0.227
Li 0.000 0.000 0.500
Li 0.000 0.500 0.773
Tl 0.500 0.500 0.500

The energy is -2.802 eV per atom.